DFT (PBE) results for crystalline SnI3Br at its relaxed geometry.

Results
The value obtained for the energy above the most stable polymorph in this dataset is 0.0 meV/atom. The value obtained for the calculated total energy is -2.49 eV/atom.

a = 7.5249 Å, b = 7.5351 Å, c = 10.8256 Å
α = 89.35°, β = 85.98°, γ = 87.77°
Closest atoms and distances in Å follow each position.
Positions (direct):
Sn (0.0000, 0.0000, 0.0000)  1 Br 2.50, 3 I 2.70-2.71
Sn (0.4933, 0.6679, 0.4970)  1 Br 2.50, 3 I 2.70-2.71
I (0.3307, 0.5654, 0.2964)  1 Sn 2.70
I (0.3707, 0.4840, 0.6999)  1 Sn 2.71
I (0.4367, 0.0200, 0.5356)  1 Sn 2.70
I (0.8277, 0.1257, 0.8046)  1 Sn 2.70
I (0.8876, 0.1841, 0.2061)  1 Sn 2.71
I (0.9425, 0.6504, 0.0364)  1 Sn 2.71
Br (0.3265, 0.0447, 0.9573)  1 Sn 2.50
Br (0.8208, 0.5974, 0.4622)  1 Sn 2.50

---

DFT (PBE) results for crystalline KLaCl2O at its relaxed geometry.

Results
The value obtained for the calculated total energy is -3.13 eV/atom.

a = 5.0758 Å, b = 5.0758 Å, c = 6.6890 Å
α = 90.00°, β = 90.00°, γ = 90.00°
Closest atoms and distances in Å follow each position.
Positions (direct):
K (0.0000, 0.0000, 0.0000)  4 Cl 2.54
La (0.0000, 0.0000, 0.5000)  2 K 3.34, 4 O 3.59
Cl (0.0000, 0.5000, 0.0000)  2 K 2.54
Cl (0.5000, 0.0000, 0.0000)  2 K 2.54
O (0.5000, 0.5000, 0.5000)  4 La 3.59

---

DFT (PBE) results for crystalline PrPtPbAu at its relaxed geometry.

Results
The value obtained for the calculated total energy is -5.08 eV/atom. The energy of formation from the pure elements is -633 meV/atom.

a = 5.0968 Å, b = 5.0968 Å, c = 5.0968 Å
α = 60.00°, β = 60.00°, γ = 60.00°
Closest atoms and distances in Å follow each position.
Positions (direct):
Pr (0.0000, 0.0000, 0.0000)  4 Au 3.12, 4 Pt 3.12
Pt (0.2500, 0.2500, 0.2500)  4 Pb 3.12, 4 Pr 3.12
Pb (0.5000, 0.5000, 0.5000)  4 Au 3.12, 4 Pt 3.12
Au (0.7500, 0.7500, 0.7500)  4 Pb 3.12, 4 Pr 3.12

---

DFT (PBE) results for crystalline Li2CdIn at its relaxed geometry.

Results
The value obtained for the calculated total energy is -2.16 eV/atom. The energy of formation from the pure elements is -292 meV/atom.

a = 4.7827 Å, b = 4.7827 Å, c = 4.7827 Å
α = 60.00°, β = 60.00°, γ = 60.00°
Closest atoms and distances in Å follow each position.
Positions (direct):
Li (0.0000, 0.0000, 0.0000)  4 In 2.93, 4 Li 2.93
Li (0.2500, 0.2500, 0.2500)  4 Cd 2.93, 4 Li 2.93
Cd (0.5000, 0.5000, 0.5000)  4 In 2.93, 4 Li 2.93
In (0.7500, 0.7500, 0.7500)  4 Cd 2.93, 4 Li 2.93

---

DFT (PBE) results for crystalline NaZrSc2 at its relaxed geometry.

Results
The value obtained for the energy above the most stable polymorph in this dataset is 0.0 meV/atom. The value obtained for the calculated total energy is -5.52 eV/atom. The energy of formation from the pure elements is 111 meV/atom.

a = 3.2465 Å, b = 3.2465 Å, c = 9.9534 Å
α = 90.00°, β = 90.00°, γ = 90.00°
Closest atoms and distances in Å follow each position.
Positions (direct):
Na (0.0000, 0.0000, 0.0000)  4 Na 3.25
Zr (0.0000, 0.0000, 0.5000)  8 Sc 3.14, 4 Zr 3.25
Sc (0.5000, 0.5000, 0.2853)  4 Zr 3.14, 4 Sc 3.25
Sc (0.5000, 0.5000, 0.7147)  4 Zr 3.14, 4 Sc 3.25

---

DFT (PBE) results for crystalline In4ReW at its relaxed geometry.

Results
The value obtained for the calculated total energy is -4.69 eV/atom. The energy of formation from the pure elements is 1373 meV/atom.

a = 5.5623 Å, b = 5.5623 Å, c = 5.5623 Å
α = 60.00°, β = 60.00°, γ = 60.00°
Closest atoms and distances in Å follow each position.
Positions (direct):
In (0.1250, 0.1250, 0.1250)  6 In 2.78
In (0.1250, 0.1250, 0.6250)  6 In 2.78
In (0.1250, 0.6250, 0.1250)  6 In 2.78
In (0.6250, 0.1250, 0.1250)  6 In 2.78
Re (0.7500, 0.7500, 0.7500)  12 In 3.26, 4 W 3.41
W (0.5000, 0.5000, 0.5000)  12 In 3.26, 4 Re 3.41

---

DFT (PBE) results for crystalline La2TbSm at its relaxed geometry.

Results
The value obtained for the energy above the most stable polymorph in this dataset is 143.9 meV/atom. The value obtained for the calculated total energy is -4.65 eV/atom. The energy of formation from the pure elements is 154 meV/atom.

a = 12.9163 Å, b = 12.9163 Å, c = 12.9163 Å
α = 15.85°, β = 15.85°, γ = 15.85°
Closest atoms and distances in Å follow each position.
Positions (direct):
La (0.0882, 0.0882, 0.0882)  1 Sm 3.38, 6 La 3.56, 3 Tb 3.64
La (0.9118, 0.9118, 0.9118)  1 Sm 3.38, 6 La 3.56, 3 Tb 3.64
Tb (0.5000, 0.5000, 0.5000)  6 Tb 3.56, 6 La 3.64
Sm (0.0000, 0.0000, 0.0000)  2 La 3.38, 6 Sm 3.56

---

DFT (PBE) results for crystalline TlCr2 at its relaxed geometry.

Results
The value obtained for the energy above the most stable polymorph in this dataset is 505.8 meV/atom. The value obtained for the calculated total energy is -6.26 eV/atom. The energy of formation from the pure elements is 946 meV/atom.

a = 5.0793 Å, b = 5.0793 Å, c = 5.0793 Å
α = 144.16°, β = 130.66°, γ = 62.47°
Closest atoms and distances in Å follow each position.
Positions (direct):
Tl (0.0000, 0.0000, 0.0000)  10 Cr 2.90-3.00, 2 Tl 3.13
Cr (0.3335, 0.3335, 0.0000)  7 Cr 2.89-3.13, 5 Tl 2.90-3.00
Cr (0.6665, 0.6665, 0.0000)  7 Cr 2.89-3.13, 5 Tl 2.90-3.00

---

DFT (PBE) results for crystalline Li4GdCd at its relaxed geometry.

Results
The value obtained for the calculated total energy is -3.84 eV/atom. The energy of formation from the pure elements is -67 meV/atom.

a = 5.5310 Å, b = 5.5310 Å, c = 5.5310 Å
α = 60.00°, β = 60.00°, γ = 60.00°
Closest atoms and distances in Å follow each position.
Positions (direct):
Li (0.3770, 0.3770, 0.3770)  6 Li 2.72-2.81
Li (0.3770, 0.3770, 0.8691)  6 Li 2.72-2.81
Li (0.3770, 0.8691, 0.3770)  6 Li 2.72-2.81
Li (0.8691, 0.3770, 0.3770)  6 Li 2.72-2.81
Gd (0.0000, 0.0000, 0.0000)  12 Li 3.25, 4 Cd 3.39
Cd (0.7500, 0.7500, 0.7500)  12 Li 3.24, 4 Gd 3.39

---

DFT (PBE) results for crystalline BaPa2SbS8 at its relaxed geometry.

Results
The value obtained for the calculated total energy is -6.01 eV/atom.

a = 6.2294 Å, b = 8.4943 Å, c = 6.4085 Å
α = 90.00°, β = 92.80°, γ = 90.00°
Closest atoms and distances in Å follow each position.
Positions (direct):
Ba (0.0000, 0.0000, 0.0000)  6 S 3.06-3.09
Pa (0.5000, 0.2537, 0.5000)  6 S 2.59-2.73
Pa (0.5000, 0.7463, 0.5000)  6 S 2.59-2.73
Sb (0.0000, 0.5000, 0.0000)  6 S 2.61-2.90
S (0.2572, 0.2852, 0.1619)  1 Pa 2.59, 1 Sb 2.61
S (0.2572, 0.7148, 0.1619)  1 Pa 2.59, 1 Sb 2.61
S (0.2679, 0.5000, 0.6426)  2 Pa 2.73, 1 Sb 2.90
S (0.2838, 0.0000, 0.6187)  2 Pa 2.67
S (0.7162, 0.0000, 0.3813)  2 Pa 2.67
S (0.7321, 0.5000, 0.3574)  2 Pa 2.73, 1 Sb 2.90
S (0.7428, 0.2852, 0.8381)  1 Pa 2.59, 1 Sb 2.61
S (0.7428, 0.7148, 0.8381)  1 Pa 2.59, 1 Sb 2.61

---

DFT (PBE) results for crystalline PrB14Mo at its relaxed geometry.

Results
The value obtained for the calculated total energy is -6.93 eV/atom. The energy of formation from the pure elements is -111 meV/atom.

a = 7.5000 Å, b = 7.5000 Å, c = 7.5000 Å
α = 133.79°, β = 85.30°, γ = 112.95°
Closest atoms and distances in Å follow each position.
Positions (direct):
Pr (0.3762, 0.1262, 0.2500)  14 B 2.58-2.89
Pr (0.6238, 0.8738, 0.7500)  14 B 2.58-2.89
B (0.0134, 0.1313, 0.8822)  3 B 1.70
B (0.0269, 0.2040, 0.3298)  6 B 1.70-1.88
B (0.0269, 0.6971, 0.8229)  6 B 1.70-1.88
B (0.0883, 0.6692, 0.4192)  6 B 1.70-1.90
B (0.1971, 0.5301, 0.6670)  6 B 1.83-1.90
B (0.2230, 0.5001, 0.4018)  6 B 1.82-1.89
B (0.2230, 0.8211, 0.7228)  6 B 1.82-1.89
B (0.2500, 0.3308, 0.9192)  6 B 1.70-1.90
B (0.2509, 0.8687, 0.3822)  3 B 1.70
B (0.3632, 0.5301, 0.8330)  6 B 1.83-1.90
B (0.3742, 0.2040, 0.6771)  6 B 1.70-1.88
B (0.3742, 0.6971, 0.1702)  6 B 1.70-1.88
B (0.4017, 0.1789, 0.9018)  6 B 1.82-1.89
B (0.4017, 0.4999, 0.2228)  6 B 1.82-1.89
B (0.5983, 0.5001, 0.7772)  6 B 1.82-1.89
B (0.5983, 0.8211, 0.0982)  6 B 1.82-1.89
B (0.6258, 0.3029, 0.8298)  6 B 1.70-1.88
B (0.6258, 0.7960, 0.3229)  6 B 1.70-1.88
B (0.6368, 0.4699, 0.1669)  6 B 1.83-1.90
B (0.7491, 0.1313, 0.6178)  3 B 1.70
B (0.7500, 0.6692, 0.0808)  6 B 1.70-1.90
B (0.7770, 0.1789, 0.2772)  6 B 1.82-1.89
B (0.7770, 0.4999, 0.5982)  6 B 1.82-1.89
B (0.8029, 0.4699, 0.3330)  6 B 1.83-1.90
B (0.9117, 0.3308, 0.5808)  6 B 1.70-1.90
B (0.9731, 0.3029, 0.1771)  6 B 1.70-1.88
B (0.9731, 0.7960, 0.6702)  6 B 1.70-1.88
B (0.9866, 0.8687, 0.1178)  3 B 1.70
Mo (0.0000, 0.0000, 0.5000)  12 B 2.29-2.54
Mo (0.0000, 0.5000, 0.0000)  12 B 2.29-2.54

---

Q: What is the calculated total energy in the eighth record?
A: -6.26 eV/atom

---

Q: The lowest calculated total energy belongs to which entry?
A: PrB14Mo

---

Q: Number 4 is which compound?
A: Li2CdIn

---

Q: Which of these has the lowest calculated total energy?
A: PrB14Mo